DFT (PBE) results for a relaxed structure of Cs2NdCd2O4.

It has space group C2/m (No. 12), with a = 15.786 Å, b = 3.676 Å, c = 7.286 Å, α = 90.00°, β = 103.15° and γ = 90.00°. The asymmetric unit holds Cs at (0.124, 0.000, 0.062), Nd at (0.000, 0.000, 0.500), Cd at (0.181, 0.500, 0.541), O at (0.048, 0.500, 0.330) and O at (0.151, 0.000, 0.689).

For the formation energy from raw total energies, the calculation gives -1550.1 meV/atom.